(1)
{
  "formula": "Hg4BiSe2Cl5",
  "functional": "PBE",
  "state": "relaxed",
  "magnetic_moment_mub_per_fu": 0.0,
  "e_form_raw_kj_per_mol_atoms": -58.78,
  "space_group": "P2_1/c",
  "lattice": [[-0.9186, -5.3034, -9.0559], [-5.6897, -6.5542, 4.4154], [-16.9165, 2.1265, 0.4706]],
  "species": ["Hg", "Hg", "Hg", "Hg", "Hg", "Hg", "Hg", "Hg", "Hg", "Hg", "Hg", "Hg", "Hg", "Hg", "Hg", "Hg", "Cl", "Cl", "Cl", "Cl", "Cl", "Cl", "Cl", "Cl", "Cl", "Cl", "Cl", "Cl", "Cl", "Cl", "Cl", "Cl", "Cl", "Cl", "Cl", "Cl", "Se", "Se", "Se", "Se", "Se", "Se", "Se", "Se", "Bi", "Bi", "Bi", "Bi"],
  "frac_coords": [[0.2560, 0.8289, 0.0497], [0.9964, 0.5115, 0.1443], [0.7350, 0.5124, 0.9948], [0.7560, 0.1711, 0.4503], [0.2473, 0.1423, 0.4514], [0.2527, 0.1423, 0.9514], [0.7527, 0.8577, 0.5486], [0.2650, 0.4876, 0.0052], [0.5036, 0.5115, 0.6443], [0.4964, 0.4885, 0.3557], [0.2350, 0.4876, 0.5052], [0.7440, 0.1711, 0.9503], [0.7473, 0.8577, 0.0486], [0.2440, 0.8289, 0.5497], [0.0036, 0.4885, 0.8557], [0.7650, 0.5124, 0.4948], [0.7511, 0.9325, 0.8000], [0.9699, 0.2625, 0.5675], [0.9532, 0.2447, 0.0895], [0.2511, 0.0675, 0.7000], [0.5301, 0.2625, 0.0675], [0.4993, 0.8012, 0.1765], [0.0301, 0.7375, 0.4325], [0.5065, 0.8030, 0.6833], [0.9993, 0.1988, 0.3235], [0.5468, 0.2447, 0.5895], [0.9935, 0.8030, 0.1833], [0.4699, 0.7375, 0.9325], [0.4935, 0.1969, 0.3167], [0.0468, 0.7553, 0.9105], [0.4532, 0.7553, 0.4105], [0.7489, 0.9325, 0.3000], [0.5007, 0.1988, 0.8235], [0.0065, 0.1969, 0.8167], [0.2489, 0.0675, 0.2000], [0.0007, 0.8012, 0.6765], [0.7552, 0.5463, 0.1322], [0.7609, 0.4829, 0.8558], [0.2391, 0.5171, 0.1442], [0.2609, 0.5171, 0.6442], [0.2448, 0.4537, 0.8678], [0.7391, 0.4829, 0.3558], [0.2552, 0.4537, 0.3678], [0.7448, 0.5463, 0.6322], [0.0026, 0.0118, 0.7426], [0.4974, 0.0118, 0.2426], [0.5026, 0.9882, 0.7574], [0.9974, 0.9882, 0.2574]]
}

***

(2)
{
  "formula": "Dy2Er3Sc2",
  "functional": "PBE",
  "state": "relaxed",
  "magnetic_moment_mub_per_fu": 0.0,
  "e_above_lowest_polymorph_mev_per_atom": 0.0,
  "space_group": "P2_1/c",
  "formation_enthalpy_0k_ev_per_atom": 0.21,
  "lattice": [[-1.4000, 6.1724, -0.6812], [-3.2312, -1.8010, -9.6787], [-5.8534, -0.8603, 2.1142]],
  "species": ["Sc", "Sc", "Sc", "Sc", "Dy", "Dy", "Dy", "Dy", "Er", "Er", "Er", "Er", "Er", "Er"],
  "frac_coords": [[0.4748, 0.6457, 0.4485], [0.0252, 0.1457, 0.5515], [0.9748, 0.8543, 0.4485], [0.5252, 0.3543, 0.5515], [0.7485, 0.7424, 0.8590], [0.2485, 0.7576, 0.8590], [0.7515, 0.2424, 0.1410], [0.2515, 0.2576, 0.1410], [0.0238, 0.4423, 0.7455], [0.9762, 0.5577, 0.2545], [0.0000, 0.0000, 0.0000], [0.5238, 0.0577, 0.7455], [0.4762, 0.9423, 0.2545], [0.5000, 0.5000, 0.0000]]
}

***

(3)
{
  "formula": "Ce4OsPb2",
  "functional": "PBE",
  "state": "relaxed",
  "magnetic_moment_mub_per_fu": 2.3,
  "e_above_lowest_polymorph_mev_per_atom": 19.9,
  "space_group": "I4/mmm",
  "formation_enthalpy_0k_ev_per_atom": -0.24,
  "lattice": [[-1.0361, -0.3363, -5.0499], [2.1966, -4.6738, -0.1394], [-8.1333, -1.0981, 4.3843]],
  "species": ["Pb", "Pb", "Os", "Ce", "Ce", "Ce", "Ce"],
  "frac_coords": [[0.3642, 0.3642, 0.7284], [0.6358, 0.6358, 0.2716], [0.0000, 0.0000, 0.0000], [0.5000, 0.0000, 0.0000], [0.8249, 0.8249, 0.6498], [0.0000, 0.5000, 0.0000], [0.1751, 0.1751, 0.3502]]
}